Record 1
## CaThP2O8 (PBE)

Data for a relaxed structure of CaThP2O8.

Cell lengths 6.4311, 6.7409, 7.0002 Å; angles 88.56, 88.50, 76.67 degrees
Closest atoms and distances in Å follow each position.
Sites, in units of the cell vectors:
Ca: 0.0838 0.2117 0.1503  8 O 2.43-2.65
Ca: 0.9162 0.7883 0.8497  8 O 2.43-2.65
Th: 0.3842 0.2752 0.6704  9 O 2.43-2.65
Th: 0.6158 0.7248 0.3296  9 O 2.43-2.65
P: 0.1184 0.6977 0.3403  4 O 1.55-1.56
P: 0.3939 0.8010 0.8310  4 O 1.54-1.57
P: 0.6061 0.1990 0.1690  4 O 1.54-1.57
P: 0.8816 0.3023 0.6597  4 O 1.55-1.56
O: 0.0023 0.6129 0.1793  1 P 1.56
O: 0.0584 0.2383 0.5034  1 P 1.55
O: 0.2064 0.9840 0.8764  1 P 1.55
O: 0.2297 0.8685 0.2736  1 P 1.55
O: 0.2972 0.6161 0.7988  1 P 1.54
O: 0.3139 0.5325 0.4131  1 P 1.56
O: 0.4324 0.2472 0.0148  1 P 1.55
O: 0.4977 0.1271 0.3535  1 P 1.57
O: 0.5023 0.8729 0.6465  1 P 1.57
O: 0.5676 0.7528 0.9852  1 P 1.55
O: 0.6861 0.4675 0.5869  1 P 1.56
O: 0.7028 0.3839 0.2012  1 P 1.54
O: 0.7703 0.1315 0.7264  1 P 1.55
O: 0.7936 0.0160 0.1236  1 P 1.55
O: 0.9416 0.7617 0.4966  1 P 1.55
O: 0.9977 0.3871 0.8207  1 P 1.56

Summary:
Its formation energy from raw total energies is -2.95 eV/atom. The total energy is -190.73 eV for the cell shown. The magnetic moment is 0.000 μB/f.u.

Record 2
## CaThP2O8 (PBE)

Data for a relaxed structure of CaThP2O8.

Cell lengths 5.4104, 5.4104, 7.1628 Å; angles 90.00, 90.00, 120.00 degrees
Closest atoms and distances in Å follow each position.
Sites, in units of the cell vectors:
Ca: 0.0000 0.0000 0.0000  6 O 2.61
Th: 0.0000 0.0000 0.5000  6 O 2.30
P: 0.3333 0.6667 0.8029  4 O 1.50-1.57
P: 0.6667 0.3333 0.1971  4 O 1.50-1.57
O: 0.1780 0.3561 0.7202  1 P 1.57
O: 0.1780 0.8220 0.7202  1 P 1.57
O: 0.3333 0.6667 0.0128  1 P 1.50
O: 0.3561 0.1780 0.2798  1 P 1.57
O: 0.6439 0.8220 0.7202  1 P 1.57
O: 0.6667 0.3333 0.9872  1 P 1.50
O: 0.8220 0.1780 0.2798  1 P 1.57
O: 0.8220 0.6439 0.2798  1 P 1.57

Summary:
Its formation energy from raw total energies is -2.83 eV/atom. The total energy is -93.92 eV for the cell shown. The magnetic moment is 0.000 μB/f.u.

Record 3
## CaTiP2O (PBE)

Data for a relaxed structure of CaTiP2O.

Cell lengths 5.1051, 5.1051, 4.0897 Å; angles 90.00, 90.00, 90.00 degrees
Closest atoms and distances in Å follow each position.
Sites, in units of the cell vectors:
Ca: 0.0000 0.0000 0.0000  2 O 2.04
Ti: 0.5000 0.5000 0.5000  8 P 3.27, 4 O 3.61
P: 0.0000 0.5000 0.0000  2 Ca 2.55
P: 0.5000 0.0000 0.0000  2 Ca 2.55
O: 0.0000 0.0000 0.5000  2 Ca 2.04

Summary:
The calculation puts the energy above the most stable polymorph in this dataset at 7.66 eV/f.u. Its formation energy from raw total energies is 0.45 eV/atom. The total energy is -23.41 eV for the cell shown. The magnetic moment is 0.396 μB/f.u.

Record 4
## CaTiPO2 (PBE)

Data for a relaxed structure of CaTiPO2.

Cell lengths 4.1010, 4.1010, 5.5607 Å; angles 90.00, 90.00, 90.00 degrees
Closest atoms and distances in Å follow each position.
Sites, in units of the cell vectors:
Ca: 0.0000 0.0000 0.0000  4 O 2.05
Ti: 0.5000 0.5000 0.5000  4 P 2.90
P: 0.0000 0.0000 0.5000  2 Ca 2.78, 4 Ti 2.90
O: 0.0000 0.5000 0.0000  2 Ca 2.05
O: 0.5000 0.0000 0.0000  2 Ca 2.05

Summary:
The calculation puts the energy above the most stable polymorph in this dataset at 8.01 eV/f.u. Its formation energy from raw total energies is -0.25 eV/atom. The total energy is -26.49 eV for the cell shown. The magnetic moment is 0.963 μB/f.u.

no.,ρ (g/cm³)
1,5.2
2,4.2
3,2.6
4,2.7